! ReTeF2, optimized geometry, DFT PBEsol; values from VASP
&SYSTEM
  ibrav = 0, nat = 4, ntyp = 3
/
ATOMIC_SPECIES
Re 186.21 Re.upf
Te 127.60 Te.upf
F 19.00 F.upf
ATOMIC_POSITIONS angstrom
Re 0.000 0.000 0.000
Te 0.000 0.000 14.619
F 0.000 0.000 1.881
F 0.000 0.000 27.357
CELL_PARAMETERS angstrom
1.438 0.830 9.746
-1.438 0.830 9.746
0.000 -1.660 9.746
! Formation energy (no corrections) = -0.7545 eV/atom
! E_tot = -5.933 eV/atom
! Size of the total moment = 0.00 μB per formula unit

---

! Tl3ReF, optimized geometry, DFT PBEsol; values from VASP
&SYSTEM
  ibrav = 0, nat = 5, ntyp = 3
/
ATOMIC_SPECIES
Tl 204.38 Tl.upf
Re 186.21 Re.upf
F 19.00 F.upf
ATOMIC_POSITIONS angstrom
Tl 0.000 0.000 2.424
Tl 0.000 2.424 0.000
Tl 2.424 0.000 0.000
Re 2.424 2.424 2.424
F 0.000 0.000 0.000
CELL_PARAMETERS angstrom
4.848 0.000 0.000
0.000 4.848 0.000
0.000 0.000 4.848
! Formation energy (no corrections) = 0.5796 eV/atom
! E_tot = -4.050 eV/atom
! Size of the total moment = 3.06 μB per formula unit

---

! TlRe2F, optimized geometry, DFT PBEsol; values from VASP
&SYSTEM
  ibrav = 0, nat = 4, ntyp = 3
/
ATOMIC_SPECIES
Tl 204.38 Tl.upf
Re 186.21 Re.upf
F 19.00 F.upf
ATOMIC_POSITIONS angstrom
Tl 0.000 0.000 0.000
Re 1.566 1.566 1.566
Re 4.699 4.699 4.699
F 3.133 3.133 3.133
CELL_PARAMETERS angstrom
0.000 3.133 3.133
3.133 0.000 3.133
3.133 3.133 0.000
! Formation energy (no corrections) = 1.2964 eV/atom
! E_tot = -6.509 eV/atom
! Size of the total moment = 1.72 μB per formula unit

---

! ReWF2, optimized geometry, DFT PBEsol; values from VASP
&SYSTEM
  ibrav = 0, nat = 4, ntyp = 3
/
ATOMIC_SPECIES
Re 186.21 Re.upf
W 183.84 W.upf
F 19.00 F.upf
ATOMIC_POSITIONS angstrom
Re 0.000 0.000 0.000
W 2.929 2.929 2.929
F 1.464 1.464 1.464
F 4.393 4.393 4.393
CELL_PARAMETERS angstrom
0.000 2.929 2.929
2.929 0.000 2.929
2.929 2.929 0.000
! Formation energy (no corrections) = 0.9847 eV/atom
! E_tot = -6.764 eV/atom
! Size of the total moment = 1.60 μB per formula unit

---

! Y2Re2F, optimized geometry, DFT PBEsol; values from VASP
&SYSTEM
  ibrav = 0, nat = 5, ntyp = 3
/
ATOMIC_SPECIES
Y 88.91 Y.upf
Re 186.21 Re.upf
F 19.00 F.upf
ATOMIC_POSITIONS angstrom
Y 0.000 0.000 1.688
Y 0.000 0.000 14.250
Re 1.797 0.000 3.984
Re 0.000 1.797 3.984
F 0.000 0.000 7.969
CELL_PARAMETERS angstrom
-1.797 1.797 7.969
1.797 -1.797 7.969
1.797 1.797 -7.969
! Formation energy (no corrections) = -0.3746 eV/atom
! E_tot = -8.822 eV/atom
! Size of the total moment = 0.40 μB per formula unit

---

! Y3ReF, optimized geometry, DFT PBEsol; values from VASP
&SYSTEM
  ibrav = 0, nat = 5, ntyp = 3
/
ATOMIC_SPECIES
Y 88.91 Y.upf
Re 186.21 Re.upf
F 19.00 F.upf
ATOMIC_POSITIONS angstrom
Y 0.000 0.000 2.680
Y 0.000 2.680 0.000
Y 2.680 0.000 0.000
Re 0.000 0.000 0.000
F 2.680 2.680 2.680
CELL_PARAMETERS angstrom
5.361 0.000 0.000
0.000 5.361 0.000
0.000 0.000 5.361
! Formation energy (no corrections) = 0.0602 eV/atom
! E_tot = -7.085 eV/atom
! Size of the total moment = 0.08 μB per formula unit

---

! Zr2ReF, optimized geometry, DFT PBEsol; values from VASP
&SYSTEM
  ibrav = 0, nat = 4, ntyp = 3
/
ATOMIC_SPECIES
Zr 91.22 Zr.upf
Re 186.21 Re.upf
F 19.00 F.upf
ATOMIC_POSITIONS angstrom
Zr 1.605 1.605 1.605
Zr 4.815 4.815 4.815
Re 0.000 0.000 0.000
F 3.210 3.210 3.210
CELL_PARAMETERS angstrom
0.000 3.210 3.210
3.210 0.000 3.210
3.210 3.210 0.000
! Formation energy (no corrections) = -0.4906 eV/atom
! E_tot = -8.850 eV/atom
! Size of the total moment = 0.00 μB per formula unit

---

! ZrRe3F, optimized geometry, DFT PBEsol; values from VASP
&SYSTEM
  ibrav = 0, nat = 5, ntyp = 3
/
ATOMIC_SPECIES
Zr 91.22 Zr.upf
Re 186.21 Re.upf
F 19.00 F.upf
ATOMIC_POSITIONS angstrom
Zr 0.000 0.000 0.000
Re 0.000 2.115 2.115
Re 2.115 0.000 2.115
Re 2.115 2.115 0.000
F 2.115 2.115 2.115
CELL_PARAMETERS angstrom
4.231 0.000 0.000
0.000 4.231 0.000
0.000 0.000 4.231
! Formation energy (no corrections) = 0.8983 eV/atom
! E_tot = -9.304 eV/atom
! Size of the total moment = 0.00 μB per formula unit